Below is BeNClF2 after structural relaxation, with properties calculated at the PBE level.

CIF file:
```
data_BeNClF2
_cell_length_a 3.169
_cell_length_b 3.169
_cell_length_c 6.301
_cell_angle_alpha 90.00
_cell_angle_beta 90.00
_cell_angle_gamma 90.00
_symmetry_space_group_name_H-M 'P 4/m m m'
_symmetry_Int_Tables_number 123
_symmetry_space_group_name_Hall '-P 4 2'
loop_
_atom_site_label
_atom_site_fract_x
_atom_site_fract_y
_atom_site_fract_z
Be1 0.000 0.000 0.000
N1 0.000 0.000 0.500
Cl1 0.500 0.500 0.500
F1 0.000 0.500 0.000
```

Calculated values
Crystal system: tetragonal
Total moment: 0.267 μB per cell
ΔE to the lowest computed polymorph: 0.0 meV/atom
Raw formation energy: -696 meV/atom

***

Below is MgCo2Ni after structural relaxation, with properties calculated at the PBE level.

CIF file:
```
data_MgCo2Ni
_cell_length_a 3.816
_cell_length_b 3.816
_cell_length_c 6.731
_cell_angle_alpha 90.00
_cell_angle_beta 90.00
_cell_angle_gamma 90.00
_symmetry_space_group_name_H-M 'I -4 m 2'
_symmetry_Int_Tables_number 119
_symmetry_space_group_name_Hall 'I -4 -2'
loop_
_atom_site_label
_atom_site_fract_x
_atom_site_fract_y
_atom_site_fract_z
Mg1 0.000 0.000 0.000
Co1 0.000 0.000 0.500
Co2 0.000 0.500 0.250
Ni1 0.000 0.500 0.750
```

Calculated values
Formation enthalpy at 0 K: 0.095 eV/atom
Crystal system: tetragonal
Total moment: 6.705 μB per cell

***

Below is RbNaS2 after structural relaxation, with properties calculated at the PBE level.

CIF file:
```
data_RbNaS2
_cell_length_a 7.556
_cell_length_b 7.556
_cell_length_c 7.556
_cell_angle_alpha 90.00
_cell_angle_beta 90.00
_cell_angle_gamma 90.00
_symmetry_space_group_name_H-M 'F m -3 m'
_symmetry_Int_Tables_number 225
_symmetry_space_group_name_Hall '-F 4 2 3'
loop_
_atom_site_label
_atom_site_fract_x
_atom_site_fract_y
_atom_site_fract_z
Rb1 0.000 0.000 0.000
Na1 0.000 0.000 0.500
S1 0.250 0.250 0.250
```

Calculated values
Crystal system: cubic
Total moment: 8.000 μB per cell
ΔE to the lowest computed polymorph: 302.8 meV/atom
Raw formation energy: -340 meV/atom

***

Below is NbGe2PbSe after structural relaxation, with properties calculated at the PBE level.

CIF file:
```
data_NbGe2PbSe
_cell_length_a 4.896
_cell_length_b 4.896
_cell_length_c 5.476
_cell_angle_alpha 90.00
_cell_angle_beta 90.00
_cell_angle_gamma 90.00
_symmetry_space_group_name_H-M 'P 4/m m m'
_symmetry_Int_Tables_number 123
_symmetry_space_group_name_Hall '-P 4 2'
loop_
_atom_site_label
_atom_site_fract_x
_atom_site_fract_y
_atom_site_fract_z
Nb1 0.000 0.000 0.000
Ge1 0.000 0.500 0.500
Pb1 0.500 0.500 0.000
Se1 0.500 0.500 0.500
```

Calculated values
Crystal system: tetragonal
Total moment: 0.001 μB per cell
Raw formation energy: 1184 meV/atom